Density functional theory data (GGA+U) for an optimized crystal structure of SrCaTbNiO6.

Unit cell a=5.7053 b=5.7053 c=5.7053 alpha=60.00 beta=60.00 gamma=60.00
Each line ends with the local moment (μB).
Sites, in units of the cell vectors:
Sr 0.2500 0.2500 0.2500  -0.01
Ca 0.7500 0.7500 0.7500  -0.01
Tb 0.5000 0.5000 0.5000  -0.02
Ni 0.0000 0.0000 0.0000  -0.08
O 0.2293 0.7707 0.2293  0.13
O 0.7707 0.2293 0.7707  0.13
O 0.2293 0.7707 0.7707  0.13
O 0.7707 0.2293 0.2293  0.13
O 0.2293 0.2293 0.7707  0.13
O 0.7707 0.7707 0.2293  0.13

Results
space group: No. 216
crystal system: cubic
electronic total energy: -6.12 eV/atom